No. 1
# GdCd2Au (PBE-GGA, optimized geometry)
# - Space group: P4/mmm
# - ΔE_f: -387 meV per atom
data_GdCd2Au
_space_group_name_H-M_alt 'P 1'
_space_group_IT_number 1
_space_group_name_Hall 'P 1'
_cell_length_a 4.3504
_cell_length_b 4.3504
_cell_length_c 4.9541
_cell_angle_alpha 90.00
_cell_angle_beta 90.00
_cell_angle_gamma 90.00
loop_
_atom_site_label
_atom_site_type_symbol
_atom_site_fract_x
_atom_site_fract_y
_atom_site_fract_z
Gd1 Gd 0.0000 0.0000 0.0000
Cd1 Cd 0.0000 0.5000 0.5000
Cd2 Cd 0.5000 0.0000 0.5000
Au1 Au 0.5000 0.5000 0.0000

---

No. 2
# Tb2Zn3Ni2 (PBE-GGA, optimized geometry)
# - Space group: C2/m
# - Relative energy among the computed polymorphs: 0.0000 eV per atom
# - ΔE_f: -433 meV per atom
data_Tb2Zn3Ni2
_space_group_name_H-M_alt 'P 1'
_space_group_IT_number 1
_space_group_name_Hall 'P 1'
_cell_length_a 9.5166
_cell_length_b 4.0740
_cell_length_c 6.9429
_cell_angle_alpha 90.00
_cell_angle_beta 113.64
_cell_angle_gamma 90.00
loop_
_atom_site_label
_atom_site_type_symbol
_atom_site_fract_x
_atom_site_fract_y
_atom_site_fract_z
Tb1 Tb 0.1420 0.0000 0.2707
Tb2 Tb 0.3580 0.5000 0.7293
Tb3 Tb 0.6420 0.5000 0.2707
Tb4 Tb 0.8580 0.0000 0.7293
Zn1 Zn 0.0000 0.5000 0.5000
Zn2 Zn 0.1366 0.5000 0.9407
Zn3 Zn 0.3634 0.0000 0.0593
Zn4 Zn 0.5000 0.0000 0.5000
Zn5 Zn 0.6366 0.0000 0.9407
Zn6 Zn 0.8634 0.5000 0.0593
Ni1 Ni 0.1356 0.0000 0.6938
Ni2 Ni 0.3644 0.5000 0.3062
Ni3 Ni 0.6356 0.5000 0.6938
Ni4 Ni 0.8644 0.0000 0.3062

---

> Look up the ΔE_f of the first one.

-387 meV per atom